# 1
Computed, not measured: LiTa3Pd after structural relaxation at the PBE level of DFT.

- spin magnetization (μB per formula unit) = 0.00
- energy (eV/atom) = -7.49
- mass density (Mg/m³) = 13.020
- SG = Pm-3m (221)
- volume (Å³/atom) = 16.74

abc: 4.3742 4.3742 4.3742
angles: 90.00 90.00 90.00
Positions (direct):
Li (0.0000, 0.0000, 0.0000)
Ta (0.0000, 0.0000, 0.5000)
Ta (0.0000, 0.5000, 0.0000)
Ta (0.5000, 0.0000, 0.0000)
Pd (0.5000, 0.5000, 0.5000)

---

# 2
Computed, not measured: Li2TaPd5 after structural relaxation at the PBE level of DFT.

- spin magnetization (μB per formula unit) = 0.00
- energy (eV/atom) = -5.58
- mass density (Mg/m³) = 10.261
- SG = I4/mcm (140)
- volume (Å³/atom) = 14.70

abc: 7.1489 7.1489 7.1489
angles: 125.14 125.14 81.30
Positions (direct):
Li (0.1444, 0.6444, 0.7889)
Li (0.3556, 0.1444, 0.5000)
Li (0.6444, 0.8556, 0.5000)
Li (0.8556, 0.3556, 0.2111)
Ta (0.2500, 0.2500, 0.0000)
Ta (0.7500, 0.7500, 0.0000)
Pd (0.0000, 0.0000, 0.0000)
Pd (0.0043, 0.8068, 0.5000)
Pd (0.1932, 0.6932, 0.1975)
Pd (0.3068, 0.5043, 0.5000)
Pd (0.4957, 0.9957, 0.8025)
Pd (0.5000, 0.5000, 0.0000)
Pd (0.5043, 0.0043, 0.1975)
Pd (0.6932, 0.4957, 0.5000)
Pd (0.8068, 0.3068, 0.8025)
Pd (0.9957, 0.1932, 0.5000)

---

# 3
Computed, not measured: Li2TaPd5 after structural relaxation at the PBE level of DFT.

- spin magnetization (μB per formula unit) = 0.00
- energy (eV/atom) = -5.59
- mass density (Mg/m³) = 9.993
- SG = Pbam (55)
- volume (Å³/atom) = 15.10

abc: 5.4180 10.0666 4.4297
angles: 90.00 90.00 90.00
Positions (direct):
Li (0.1363, 0.1233, 0.0000)
Li (0.3637, 0.6233, 0.0000)
Li (0.6363, 0.3767, 0.0000)
Li (0.8637, 0.8767, 0.0000)
Ta (0.0000, 0.5000, 0.5000)
Ta (0.5000, 0.0000, 0.5000)
Pd (0.0000, 0.0000, 0.5000)
Pd (0.1457, 0.3799, 0.0000)
Pd (0.1788, 0.7353, 0.5000)
Pd (0.3212, 0.2353, 0.5000)
Pd (0.3543, 0.8799, 0.0000)
Pd (0.5000, 0.5000, 0.5000)
Pd (0.6457, 0.1201, 0.0000)
Pd (0.6788, 0.7647, 0.5000)
Pd (0.8212, 0.2647, 0.5000)
Pd (0.8543, 0.6201, 0.0000)

---

# 4
Computed, not measured: Li2Ta2Pd7 after structural relaxation at the PBE level of DFT.

- spin magnetization (μB per formula unit) = 0.00
- energy (eV/atom) = -5.89
- mass density (Mg/m³) = 10.413
- SG = C2/m (12)
- volume (Å³/atom) = 16.25

abc: 6.0497 6.0497 4.9926
angles: 94.59 94.59 79.56
Positions (direct):
Li (0.2469, 0.2469, 0.2344)
Li (0.7531, 0.7531, 0.7656)
Ta (0.3042, 0.6958, 0.5000)
Ta (0.6958, 0.3042, 0.5000)
Pd (0.0282, 0.0282, 0.7616)
Pd (0.0882, 0.4562, 0.7557)
Pd (0.4562, 0.0882, 0.7557)
Pd (0.5000, 0.5000, 0.0000)
Pd (0.5438, 0.9118, 0.2443)
Pd (0.9118, 0.5438, 0.2443)
Pd (0.9718, 0.9718, 0.2384)

---

# 5
Computed, not measured: Li2Ta2Pd after structural relaxation at the PBE level of DFT.

- spin magnetization (μB per formula unit) = 0.00
- energy (eV/atom) = -5.88
- mass density (Mg/m³) = 9.937
- SG = P4/mbm (127)
- volume (Å³/atom) = 16.12

abc: 7.5919 7.5919 2.7960
angles: 90.00 90.00 90.00
Positions (direct):
Li (0.1769, 0.3231, 0.0000)
Li (0.3231, 0.8231, 0.0000)
Li (0.6769, 0.1769, 0.0000)
Li (0.8231, 0.6769, 0.0000)
Ta (0.1232, 0.6232, 0.5000)
Ta (0.3768, 0.1232, 0.5000)
Ta (0.6232, 0.8768, 0.5000)
Ta (0.8768, 0.3768, 0.5000)
Pd (0.0000, 0.0000, 0.5000)
Pd (0.5000, 0.5000, 0.5000)

---

# 6
Computed, not measured: Li3TaPd4 after structural relaxation at the PBE level of DFT.

- spin magnetization (μB per formula unit) = 0.00
- energy (eV/atom) = -5.20
- mass density (Mg/m³) = 8.896
- SG = C2/m (12)
- volume (Å³/atom) = 14.64

abc: 14.3375 4.1293 4.1294
angles: 90.00 106.64 90.00
Positions (direct):
Li (0.0000, 0.0000, 0.0000)
Li (0.2444, 0.0000, 0.2443)
Li (0.2556, 0.5000, 0.7557)
Li (0.5000, 0.5000, 0.0000)
Li (0.7444, 0.5000, 0.2443)
Li (0.7556, 0.0000, 0.7557)
Ta (0.0000, 0.5000, 0.5000)
Ta (0.5000, 0.0000, 0.5000)
Pd (0.1230, 0.0000, 0.6228)
Pd (0.1230, 0.5000, 0.1227)
Pd (0.3770, 0.0000, 0.8773)
Pd (0.3770, 0.5000, 0.3772)
Pd (0.6230, 0.0000, 0.1227)
Pd (0.6230, 0.5000, 0.6228)
Pd (0.8770, 0.0000, 0.3772)
Pd (0.8770, 0.5000, 0.8773)

---

# 7
Computed, not measured: LiTa2Pd9 after structural relaxation at the PBE level of DFT.

- spin magnetization (μB per formula unit) = 0.00
- energy (eV/atom) = -6.48
- mass density (Mg/m³) = 11.932
- SG = P4/mmm (123)
- volume (Å³/atom) = 15.39

abc: 3.9577 3.9577 11.7865
angles: 90.00 90.00 90.00
Positions (direct):
Li (0.0000, 0.0000, 0.0000)
Ta (0.0000, 0.0000, 0.3224)
Ta (0.0000, 0.0000, 0.6776)
Pd (0.0000, 0.5000, 0.1694)
Pd (0.0000, 0.5000, 0.5000)
Pd (0.0000, 0.5000, 0.8306)
Pd (0.5000, 0.0000, 0.1694)
Pd (0.5000, 0.0000, 0.5000)
Pd (0.5000, 0.0000, 0.8306)
Pd (0.5000, 0.5000, 0.0000)
Pd (0.5000, 0.5000, 0.3358)
Pd (0.5000, 0.5000, 0.6642)

---

# 8
Computed, not measured: LiTaPd5 after structural relaxation at the PBE level of DFT.

- spin magnetization (μB per formula unit) = 0.00
- energy (eV/atom) = -6.01
- mass density (Mg/m³) = 11.025
- SG = P4/mmm (123)
- volume (Å³/atom) = 15.49

abc: 4.0357 4.0357 6.6584
angles: 90.00 90.00 90.00
Positions (direct):
Li (0.0000, 0.0000, 0.0000)
Ta (0.5000, 0.5000, 0.5000)
Pd (0.0000, 0.0000, 0.5000)
Pd (0.0000, 0.5000, 0.2191)
Pd (0.0000, 0.5000, 0.7809)
Pd (0.5000, 0.0000, 0.2191)
Pd (0.5000, 0.0000, 0.7809)

---

| no. | N(E_F) (states/eV per cell) |
| --- | --- |
| 1 | 6.88 |
| 2 | 5.26 |
| 3 | 6.93 |
| 4 | 6.46 |
| 5 | 10.91 |
| 6 | 8.01 |
| 7 | 2.81 |
| 8 | 4.54 |